# VCdPd2

VCdPd2 after structural relaxation (PBE-GGA, Alexandria).

Results
density of states at the Fermi level: 6.350 states/eV/f.u.
symmetry: I-42d
total DFT energy (no corrections): -4.9024 eV per atom
ΔH_f (0 K): 0.20 eV per atom
V: 143.09 Å³ per cell
ρ: 8.73 Mg/m³

a b c (Å): 7.1237 7.1237 5.7727
angles (deg): 51.90 51.90 90.00
Site moments in Bohr magnetons follow the coordinates.
Fractional positions:
Pd: 0.3750 0.4056 0.7500  0.04
Cd: 0.0000 0.0000 0.0000  0.03
Pd: 0.1556 0.6250 0.2500  0.04
V: 0.5000 0.5000 0.0000  1.75
Cd: 0.7500 0.2500 0.5000  0.03
V: 0.2500 0.7500 0.5000  1.75
Pd: 0.8750 0.8444 0.7500  0.04
Pd: 0.5944 0.1250 0.2500  0.04

=====

# Tc2SbTe

Tc2SbTe after structural relaxation (PBE-GGA, Alexandria).

Results
density of states at the Fermi level: 5.647 states/eV/f.u.
energy above the most stable polymorph in this dataset: 643.1 meV/atom
symmetry: I-42d
total DFT energy (no corrections): -6.2455 eV per atom
V: 211.46 Å³ per cell
ρ: 6.99 Mg/m³

a b c (Å): 6.1059 6.1059 7.1283
angles (deg): 64.64 64.64 90.00
Fractional positions:
Sb: 0.2500 0.7500 0.5000
Te: 0.0000 0.0000 0.0000
Tc: 0.3750 0.3714 0.7500
Tc: 0.1214 0.6250 0.2500
Tc: 0.6286 0.1250 0.2500
Tc: 0.8750 0.8786 0.7500
Te: 0.7500 0.2500 0.5000
Sb: 0.5000 0.5000 0.0000

=====

Among the records above, which one has the lowest total DFT energy (no corrections)? Tc2SbTe